No. 1
{
  "formula": "BaCu2SnSe3S",
  "functional": "PBE-GGA",
  "state": "relaxed",
  "lattice_angstrom": [[6.5766, 0.0000, 0.0000], [1.2076, 6.5220, 0.0000], [3.2770, 2.7577, 5.0962]],
  "species": ["Ba", "Cu", "Cu", "S", "Se", "Se", "Se", "Sn"],
  "fractional_positions": [[0.0038, 0.0048, 0.9976], [0.3470, 0.6635, 0.4881], [0.6510, 0.3324, 0.5167], [0.5026, 0.1518, 0.9444], [0.8543, 0.4962, 0.0614], [0.1378, 0.4952, 0.4053], [0.5053, 0.8620, 0.5896], [0.4981, 0.4940, 0.9969]]
}

***

No. 2
{
  "formula": "BaTbCuSe2S",
  "functional": "PBE-GGA",
  "state": "relaxed",
  "total_magnetization_mub_per_cell": 0.02,
  "lattice_angstrom": [[2.0681, -7.0051, 0.0000], [2.0681, 7.0051, 0.0000], [0.0000, 0.0000, 10.4299]],
  "species": ["Ba", "Ba", "Cu", "Cu", "S", "S", "Se", "Se", "Se", "Se", "Tb", "Tb"],
  "fractional_positions": [[0.2635, 0.7365, 0.2500], [0.7365, 0.2635, 0.7500], [0.5282, 0.4718, 0.2500], [0.4718, 0.5282, 0.7500], [0.9373, 0.0627, 0.2500], [0.0627, 0.9373, 0.7500], [0.6366, 0.3634, 0.0616], [0.6366, 0.3634, 0.4384], [0.3634, 0.6366, 0.5616], [0.3634, 0.6366, 0.9384], [0.0000, 0.0000, 0.0000], [0.0000, 0.0000, 0.5000]]
}

***

No. 3
{
  "formula": "BaYCuSe2S",
  "functional": "PBE-GGA",
  "state": "relaxed",
  "total_magnetization_mub_per_cell": 0.01,
  "lattice_angstrom": [[0.9414, 1.8847, -6.9761], [-4.6206, -2.2958, 5.1462], [-2.2776, 9.8754, 2.3606]],
  "species": ["Ba", "Ba", "Cu", "Cu", "S", "S", "Se", "Se", "Se", "Se", "Y", "Y"],
  "fractional_positions": [[0.7631, 0.2369, 0.2500], [0.2369, 0.7631, 0.7500], [0.0284, 0.9716, 0.2500], [0.9716, 0.0284, 0.7500], [0.4374, 0.5626, 0.2500], [0.5626, 0.4374, 0.7500], [0.1365, 0.8635, 0.0608], [0.1365, 0.8635, 0.4392], [0.8635, 0.1365, 0.5608], [0.8635, 0.1365, 0.9392], [0.5000, 0.5000, 0.0000], [0.5000, 0.5000, 0.5000]]
}

***

No. 4
{
  "formula": "BaSmCuS3",
  "functional": "PBE-GGA",
  "state": "relaxed",
  "total_magnetization_mub_per_cell": 0.00,
  "lattice_angstrom": [[-2.1565, 3.2380, -1.6004], [-4.4865, 1.9853, 10.0619], [8.9023, 7.1898, 2.5509]],
  "species": ["Ba", "Ba", "Ba", "Ba", "Cu", "Cu", "Cu", "Cu", "S", "S", "S", "S", "S", "S", "S", "S", "S", "S", "S", "S", "Sm", "Sm", "Sm", "Sm"],
  "fractional_positions": [[0.0000, 0.5653, 0.0057], [0.0000, 0.0653, 0.4943], [0.5000, 0.4347, 0.5057], [0.5000, 0.9347, 0.9943], [0.0000, 0.9963, 0.2102], [0.0000, 0.4963, 0.2898], [0.5000, 0.0037, 0.7102], [0.5000, 0.5037, 0.7898], [0.0000, 0.1440, 0.0600], [0.0000, 0.7972, 0.1547], [0.5000, 0.5245, 0.2041], [0.5000, 0.0245, 0.2959], [0.0000, 0.2972, 0.3453], [0.0000, 0.6440, 0.4400], [0.5000, 0.8560, 0.5600], [0.5000, 0.2028, 0.6547], [0.0000, 0.4755, 0.7041], [0.0000, 0.9755, 0.7959], [0.5000, 0.7028, 0.8453], [0.5000, 0.3560, 0.9400], [0.5000, 0.2610, 0.1814], [0.5000, 0.7610, 0.3186], [0.0000, 0.7390, 0.6814], [0.0000, 0.2390, 0.8186]]
}

***

Number 1: total energy -33.77 eV for the cell shown. Number 2: total energy -62.39 eV for the cell shown. Number 3: total energy -66.07 eV for the cell shown. Number 4: total energy -130.38 eV for the cell shown.